1.
NaPb3N: relaxed, PBE.

Structure (POSCAR):
```
NaPb3N
1.0
-3.8778 -1.9457 -2.7408
0.5560 -4.4982 2.4067
-3.3150 1.5217 3.6098
Pb Na N
3 1 1
direct
0.0000 0.5000 0.0000
0.0000 0.0000 0.5000
0.5000 0.0000 0.0000
0.5000 0.5000 0.5000
0.0000 0.0000 0.0000
```

The formation energy without anion corrections is 0.435 eV per atom. The distance to the lowest polymorph of the same formula is 0 meV/atom. The symmetry is Pm-3m, No. 221. As for the density of states at the Fermi level: 3.17 states/eV per cell.


2.
Na2PbN: relaxed, PBE.

Structure (POSCAR):
```
Na2PbN
1.0
8.8776 0.0000 0.0000
0.0000 8.8776 0.0000
4.4388 4.4388 2.4211
Pb Na N
2 4 2
direct
0.0000 0.0000 0.0000
0.7500 0.2500 0.5000
0.4839 0.1250 0.2500
0.2661 0.6250 0.2500
0.3750 0.5161 0.7500
0.8750 0.7339 0.7500
0.5000 0.5000 0.0000
0.2500 0.7500 0.5000
```

The formation energy without anion corrections is 0.423 eV per atom. The distance to the lowest polymorph of the same formula is 0 meV/atom. The symmetry is I-42d, No. 122. As for the density of states at the Fermi level: 7.18 states/eV per cell.


3.
NaPbN3: relaxed, PBE.

Structure (POSCAR):
```
NaPbN3
1.0
-3.5320 -1.5465 1.9353
1.8384 -3.8954 0.2425
1.6605 1.0232 3.8481
Pb Na N
1 1 3
direct
0.5000 0.5000 0.5000
0.0000 0.0000 0.0000
0.0000 0.5000 0.0000
0.0000 0.0000 0.5000
0.5000 0.0000 0.0000
```

The formation energy without anion corrections is 2.201 eV per atom. The symmetry is Pm-3m, No. 221. As for the density of states at the Fermi level: 1.53 states/eV per cell.


4.
NaPbN: relaxed, PBE.

Structure (POSCAR):
```
NaPbN
1.0
3.3530 -0.5196 0.0914
-0.0203 15.3975 -5.2725
-1.2367 -12.6053 7.0652
Na Pb N
2 2 2
direct
0.9442 0.9767 0.6442
0.0558 0.0233 0.3558
0.4282 0.0346 0.9208
0.5718 0.9654 0.0792
0.4692 0.9135 0.3687
0.5308 0.0865 0.6313
```

The formation energy without anion corrections is -0.056 eV per atom. The symmetry is P-1, No. 2. As for the density of states at the Fermi level: 3.29 states/eV per cell.